(1)
Compound: SiCl3
Source: Alexandria
Functional: PBE
Structure: optimized geometry

Properties
**Energy relative to the elements, uncorrected**: -0.6676 eV per atom
**Energy above the lowest structure with this stoichiometry**: 0.169 eV per atom

Cell lengths 4.6877, 13.5988, 3.4980 Å; angles 90.00, 90.00, 90.00 degrees
Space group Cmmm (No. 65)
One atom of each set of equivalent atoms:
Si: 0.0000 0.0000 0.0000 x2
Cl: 0.0000 0.1217 0.5000 x4
Cl: 0.0000 0.5000 0.0000 x2

(2)
Compound: Si2Cl
Source: Alexandria
Functional: PBE
Structure: optimized geometry

Properties
**Energy relative to the elements, uncorrected**: -0.4533 eV per atom
**Energy above the lowest structure with this stoichiometry**: 0.000 eV per atom

Cell lengths 3.8962, 3.8962, 11.6978 Å; angles 80.46, 89.91, 60.00 degrees
Space group P-1 (No. 2)
One atom of each set of equivalent atoms:
Si: 0.0333 0.4323 0.1030 x2
Si: 0.2784 0.9448 0.8306 x2
Cl: 0.2194 0.0645 0.6500 x2

(3)
Compound: SiCl3
Source: Alexandria
Functional: PBE
Structure: optimized geometry

Properties
**Energy relative to the elements, uncorrected**: -0.0798 eV per atom
**Energy above the lowest structure with this stoichiometry**: 0.757 eV per atom

Cell lengths 3.6456, 3.6456, 31.1762 Å; angles 90.00, 90.00, 120.00 degrees
Space group R-3m (No. 166, hexagonal axes)
One atom of each set of equivalent atoms:
Si: 0.0000 0.0000 0.0000 x3
Cl: 0.0000 0.0000 0.3816 x6
Cl: 0.0000 0.0000 0.5000 x3

(4)
Compound: Si23Cl3
Source: Alexandria
Functional: PBE
Structure: optimized geometry

Properties
**Energy relative to the elements, uncorrected**: 0.0077 eV per atom

Cell lengths 10.1836, 10.1836, 10.1836 Å; angles 90.00, 90.00, 90.00 degrees
Space group Pm-3n (No. 223)
One atom of each set of equivalent atoms:
Si: 0.0000 0.1153 0.3110 x24
Si: 0.0000 0.2500 0.5000 x6
Si: 0.1829 0.1829 0.1829 x16
Cl: 0.0000 0.5000 0.2500 x6

(5)
Compound: SiCl2
Source: Alexandria
Functional: PBE
Structure: optimized geometry

Properties
**Energy relative to the elements, uncorrected**: -0.9818 eV per atom

Cell lengths 13.9434, 7.4306, 4.0273 Å; angles 90.00, 90.00, 90.00 degrees
Space group Cmcm (No. 63)
One atom of each set of equivalent atoms:
Si: 0.0000 0.0856 0.2500 x4
Cl: 0.1210 0.2452 0.2500 x8

(6)
Compound: SiCl3
Source: Alexandria
Functional: PBE
Structure: optimized geometry

Properties
**Energy relative to the elements, uncorrected**: -0.0823 eV per atom
**Energy above the lowest structure with this stoichiometry**: 0.754 eV per atom

Cell lengths 4.1267, 4.1267, 6.2643 Å; angles 90.00, 90.00, 90.00 degrees
Space group P4mm (No. 99)
One atom of each set of equivalent atoms:
Si: 0.0000 0.0000 0.0000 x1
Cl: 0.0000 0.5000 0.8069 x2
Cl: 0.5000 0.5000 0.2330 x1

(7)
Compound: SiCl2
Source: Alexandria
Functional: PBE
Structure: optimized geometry

Properties
**Energy relative to the elements, uncorrected**: -0.4542 eV per atom

Cell lengths 6.2262, 6.3134, 3.8195 Å; angles 90.00, 90.00, 90.00 degrees
Space group Pnnm (No. 58)
One atom of each set of equivalent atoms:
Si: 0.0000 0.0000 0.0000 x2
Cl: 0.2121 0.1931 0.5000 x4

(8)
Compound: SiCl2
Source: Alexandria
Functional: PBE
Structure: optimized geometry

Properties
**Energy relative to the elements, uncorrected**: -0.2007 eV per atom

Cell lengths 3.3280, 3.3280, 13.8099 Å; angles 90.00, 90.00, 90.00 degrees
Space group I4/mmm (No. 139)
One atom of each set of equivalent atoms:
Si: 0.0000 0.0000 0.0000 x2
Cl: 0.0000 0.0000 0.3879 x4

(9)
Compound: SiCl3
Source: Alexandria
Functional: PBE
Structure: optimized geometry

Properties
**Energy relative to the elements, uncorrected**: -0.0886 eV per atom
**Energy above the lowest structure with this stoichiometry**: 0.748 eV per atom

Cell lengths 3.6575, 3.6575, 27.0528 Å; angles 90.00, 90.00, 120.00 degrees
Space group R-3m (No. 166, hexagonal axes)
One atom of each set of equivalent atoms:
Si: 0.0000 0.0000 0.0000 x3
Cl: 0.0000 0.0000 0.2786 x6
Cl: 0.0000 0.0000 0.5000 x3

(10)
Compound: SiCl3
Source: Alexandria
Functional: PBE
Structure: optimized geometry

Properties
**Energy relative to the elements, uncorrected**: 0.2904 eV per atom
**Energy above the lowest structure with this stoichiometry**: 1.127 eV per atom

Cell lengths 6.8609, 6.8609, 6.8609 Å; angles 90.00, 90.00, 90.00 degrees
Space group Fm-3m (No. 225)
One atom of each set of equivalent atoms:
Si: 0.0000 0.0000 0.0000 x4
Cl: 0.0000 0.0000 0.5000 x4
Cl: 0.2500 0.2500 0.2500 x8

(11)
Compound: Si2Cl
Source: Alexandria
Functional: PBE
Structure: optimized geometry

Properties
**Energy relative to the elements, uncorrected**: 0.0268 eV per atom
**Energy above the lowest structure with this stoichiometry**: 0.480 eV per atom

Cell lengths 10.5418, 3.7749, 7.5772 Å; angles 90.00, 91.19, 90.00 degrees
Space group C2/m (No. 12)
One atom of each set of equivalent atoms:
Si: 0.0749 0.0000 0.1323 x4
Si: 0.1696 0.5000 0.9724 x4
Cl: 0.1398 0.5000 0.6945 x4

(12)
Compound: Si4Cl
Source: Alexandria
Functional: PBE
Structure: optimized geometry

Properties
**Energy relative to the elements, uncorrected**: 1.1133 eV per atom
**Energy above the lowest structure with this stoichiometry**: 0.000 eV per atom

Cell lengths 5.8179, 5.8179, 5.8179 Å; angles 90.00, 90.00, 90.00 degrees
Space group Im-3m (No. 229)
One atom of each set of equivalent atoms:
Si: 0.2500 0.2500 0.2500 x8
Cl: 0.0000 0.0000 0.0000 x2

| no. | calculated total energy (eV for the cell shown) |
| --- | --- |
| 1 | -27.3 |
| 2 | -28.1 |
| 3 | -33.8 |
| 4 | -260.1 |
| 5 | -48.2 |
| 6 | -11.3 |
| 7 | -21.0 |
| 8 | -19.4 |
| 9 | -34.0 |
| 10 | -39.2 |
| 11 | -50.4 |
| 12 | -35.9 |